No. 1
Computed, not measured: crystalline Ca3Bi3Pb2 at its relaxed geometry at the PBE level of DFT.

Calculated values
ΔE_f = -3.950 eV per formula unit
magnetization = 0.00 μB per atom
SG = P6_3/mcm

Structure (POSCAR):
```
Ca3Bi3Pb2
1.0
9.7582 0.0000 0.0000
-4.8791 8.4508 0.0000
0.0000 0.0000 6.7385
Ca Bi Pb
6 6 4
direct
0.0000 0.3053 0.2500
0.0000 0.6947 0.7500
0.3053 0.0000 0.2500
0.3053 0.3053 0.7500
0.6947 0.0000 0.7500
0.6947 0.6947 0.2500
0.0000 0.3563 0.7500
0.0000 0.6437 0.2500
0.3563 0.0000 0.7500
0.3563 0.3563 0.2500
0.6437 0.0000 0.2500
0.6437 0.6437 0.7500
0.3333 0.6667 0.0000
0.3333 0.6667 0.5000
0.6667 0.3333 0.0000
0.6667 0.3333 0.5000
```



No. 2
Computed, not measured: crystalline Ta2CrOs at its relaxed geometry at the PBE level of DFT.

Calculated values
ΔE_f = -0.637 eV per formula unit
magnetization = 0.00 μB per atom
SG = Imm2
excess energy over the best structure of this formula in the dataset = 0.1505 eV/atom

Structure (POSCAR):
```
Ta2CrOs
1.0
-1.5701 2.2058 4.5129
1.5701 -2.2058 4.5129
1.5701 2.2058 -4.5129
Ta Cr Os
2 1 1
direct
0.0000 0.0000 0.0000
0.7404 0.2404 0.5000
0.2412 0.7412 0.5000
0.4907 0.4907 0.0000
```



No. 3
Computed, not measured: crystalline Pu2Si4Pd5 at its relaxed geometry at the PBE level of DFT.

Calculated values
magnetization = 1.02 μB per atom
SG = Fmmm
total DFT energy (no corrections) = -7.50 eV per atom

Structure (POSCAR):
```
Pu2Si4Pd5
1.0
0.0000 4.8589 7.0690
2.8513 0.0000 7.0690
2.8513 4.8589 0.0000
Pu Si Pd
2 4 5
direct
0.1351 0.1351 0.8649
0.8649 0.8649 0.1351
0.2283 0.4890 0.5110
0.4890 0.2283 0.7717
0.5110 0.7717 0.2283
0.7717 0.5110 0.4890
0.0000 0.0000 0.5000
0.2500 0.2500 0.2500
0.5000 0.5000 0.0000
0.5000 0.5000 0.5000
0.7500 0.7500 0.7500
```



No. 4
Computed, not measured: crystalline InOsPdBr2 at its relaxed geometry at the PBE level of DFT.

Calculated values
magnetization = 0.00 μB per atom
SG = P4/mmm
total DFT energy (no corrections) = -3.91 eV per atom

Structure (POSCAR):
```
InOsPdBr2
1.0
5.0631 0.0000 0.0000
0.0000 5.0631 0.0000
0.0000 0.0000 5.0163
In Os Pd Br
1 1 1 2
direct
0.0000 0.0000 0.0000
0.5000 0.5000 0.5000
0.5000 0.5000 0.0000
0.0000 0.5000 0.5000
0.5000 0.0000 0.5000
```



No. 5
Computed, not measured: crystalline InSe at its relaxed geometry at the PBE level of DFT.

Calculated values
magnetization = 0.00 μB per atom
SG = F-43m
total DFT energy (no corrections) = -3.41 eV per atom

Structure (POSCAR):
```
InSe
1.0
0.0000 3.2921 3.2921
3.2921 0.0000 3.2921
3.2921 3.2921 0.0000
In Se
1 1
direct
0.0000 0.0000 0.0000
0.7500 0.7500 0.7500
```



No. 6
Computed, not measured: crystalline Pa2MoS at its relaxed geometry at the PBE level of DFT.

Calculated values
magnetization = 0.00 μB per atom
SG = R-3m
total DFT energy (no corrections) = -8.91 eV per atom

Structure (POSCAR):
```
Pa2MoS
1.0
1.7634 1.0181 8.0260
-1.7634 1.0181 8.0260
0.0000 -2.0362 8.0260
Pa Mo S
2 1 1
direct
0.2448 0.2448 0.2448
0.7552 0.7552 0.7552
0.0000 0.0000 0.0000
0.5000 0.5000 0.5000
```



No. 7
Computed, not measured: crystalline SnPRuO2 at its relaxed geometry at the PBE level of DFT.

Calculated values
magnetization = 0.67 μB per atom
SG = P4/mmm
excess energy over the best structure of this formula in the dataset = 0.5663 eV/atom

Structure (POSCAR):
```
SnPRuO2
1.0
3.8518 0.0000 0.0000
0.0000 3.8518 0.0000
0.0000 0.0000 5.7553
Sn P Ru O
1 1 1 2
direct
0.0000 0.0000 0.0000
0.0000 0.0000 0.5000
0.5000 0.5000 0.5000
0.0000 0.5000 0.0000
0.5000 0.0000 0.0000
```



No. 8
Computed, not measured: crystalline Pm8BiSe6 at its relaxed geometry at the PBE level of DFT.

Calculated values
magnetization = 0.00 μB per atom
SG = P-3
total DFT energy (no corrections) = -5.60 eV per atom

Structure (POSCAR):
```
Pm8BiSe6
1.0
10.8253 0.0000 0.0000
-5.4127 9.3750 0.0000
0.0000 0.0000 4.2228
Pm Bi Se
8 1 6
direct
0.0357 0.3301 0.2450
0.2943 0.9643 0.2450
0.3301 0.2943 0.7550
0.3333 0.6667 0.7519
0.6667 0.3333 0.2481
0.6699 0.7057 0.2450
0.7057 0.0357 0.7550
0.9643 0.6699 0.7550
0.0000 0.0000 0.0000
0.1327 0.6498 0.2516
0.3502 0.4829 0.2516
0.4829 0.1327 0.7484
0.5171 0.8673 0.2516
0.6498 0.5171 0.7484
0.8673 0.3502 0.7484
```



Copy entry 7 word for word.
Computed, not measured: crystalline SnPRuO2 at its relaxed geometry at the PBE level of DFT.

Calculated values
magnetization = 0.67 μB per atom
SG = P4/mmm
excess energy over the best structure of this formula in the dataset = 0.5663 eV/atom

Structure (POSCAR):
```
SnPRuO2
1.0
3.8518 0.0000 0.0000
0.0000 3.8518 0.0000
0.0000 0.0000 5.7553
Sn P Ru O
1 1 1 2
direct
0.0000 0.0000 0.0000
0.0000 0.0000 0.5000
0.5000 0.5000 0.5000
0.0000 0.5000 0.0000
0.5000 0.0000 0.0000
```



Question: What is the formula in the first record?
Answer: Ca3Bi3Pb2